Entry 1:
## ZnFeO3 (PBE with a Hubbard U)

Data for a relaxed ZnFeO3 crystal.

Calculated values
Energy (eV per atom): -5.47
N(E_F) (states/eV/f.u.): 2.13

Lattice parameters (Å, degrees): 5.1682 7.5613 5.1631 90.00 90.00 90.00
With the nearest neighbours (Å) after each atom.
Space group Pnma (No. 62)
Asymmetric unit:
Zn: 0.0363 0.2500 0.0031 (multiplicity 4)  4 O 2.04-2.10
Fe: 0.0000 0.0000 0.5000 (multiplicity 4)  6 O 1.92-2.02
O: 0.0736 0.7500 0.6156 (multiplicity 4)  2 Fe 2.02, 2 Zn 2.05-2.10
O: 0.1859 0.5638 0.1766 (multiplicity 8)  2 Fe 1.92-1.99, 1 Zn 2.04

Entry 2:
## ZnFe5O8 (PBE with a Hubbard U)

Data for a relaxed ZnFe5O8 crystal.

Calculated values
Energy (eV per atom): -6.37
N(E_F) (states/eV/f.u.): 3.16

Lattice parameters (Å, degrees): 8.5482 8.5482 8.5482 90.00 90.00 90.00
With the nearest neighbours (Å) after each atom.
Space group F-43m (No. 216)
Asymmetric unit:
Zn: 0.0000 0.0000 0.0000 (multiplicity 4)  4 O 2.00
Fe: 0.1253 0.1253 0.6253 (multiplicity 16)  6 O 2.05-2.08
Fe: 0.2500 0.2500 0.2500 (multiplicity 4)  4 O 1.95
O: 0.1181 0.1181 0.3819 (multiplicity 16)  4 Fe 1.95-2.08
O: 0.1349 0.1349 0.8651 (multiplicity 16)  1 Zn 2.00, 3 Fe 2.05